Below is crystalline MgNi3F at its relaxed geometry, with properties calculated at the PBE with a Hubbard U level.

CIF file:
```
data_MgNi3F
_cell_length_a 4.659
_cell_length_b 4.659
_cell_length_c 4.659
_cell_angle_alpha 90.00
_cell_angle_beta 90.00
_cell_angle_gamma 90.00
_space_group_name_H-M_alt 'P m -3 m'
_space_group_IT_number 221
_space_group_name_Hall '-P 4 2 3'
loop_
_atom_site_label
_atom_site_type_symbol
_atom_site_fract_x
_atom_site_fract_y
_atom_site_fract_z
_atom_site_occupancy
Mg1 Mg 0.000 0.000 0.000 1
Ni1 Ni 0.000 0.000 0.500 1
F1 F 0.500 0.500 0.500 1
```

Results
Fermi-level density of states = 2.27 states/eV/f.u.
raw total energy = -6.15 eV for the cell shown
distance to the lowest polymorph of the same formula = 892 meV/atom